(1)
Density functional theory data (PBE) for an optimized crystal structure of Ni2Mo3.

Cell lengths 4.116, 4.116, 5.125 Å; angles 90.00, 90.00, 120.00 degrees
Sites, in units of the cell vectors:
Ni 0.667 0.333 0.116
Ni 0.333 0.667 0.884
Mo 0.000 0.000 0.000
Mo 0.667 0.333 0.619
Mo 0.333 0.667 0.381

The magnetic moment is 0.00 μB per cell.

---

(2)
Density functional theory data (PBE) for an optimized crystal structure of Ni2Mo3.

Cell lengths 11.372, 11.372, 11.372 Å; angles 13.59, 13.59, 13.59 degrees
Sites, in units of the cell vectors:
Ni 0.602 0.602 0.602
Ni 0.398 0.398 0.398
Mo 0.000 0.000 0.000
Mo 0.796 0.796 0.796
Mo 0.204 0.204 0.204

The magnetic moment is 0.00 μB per cell.

---

Most stable: (2). Least stable: (1).

---

(1)
Density functional theory data (PBE) for an optimized crystal structure of Ni5Mo3.

Cell lengths 7.313, 7.139, 4.664 Å; angles 90.00, 90.00, 60.81 degrees
Sites, in units of the cell vectors:
Ni 0.878 0.140 0.250
Ni 0.258 0.748 0.750
Ni 0.257 0.992 0.250
Ni 0.046 0.206 0.750
Ni 0.583 0.709 0.000
Ni 0.583 0.709 0.500
Ni 0.250 0.375 0.000
Ni 0.250 0.375 0.500
Ni 0.879 0.982 0.750
Ni 0.046 0.749 0.250
Mo 0.616 0.355 0.750
Mo 0.453 0.507 0.250
Mo 0.453 0.041 0.750
Mo 0.916 0.449 0.250
Mo 0.616 0.028 0.250
Mo 0.916 0.635 0.750

The magnetic moment is 0.00 μB per cell.

---

(2)
Density functional theory data (PBE) for an optimized crystal structure of Ni5Mo3.

Cell lengths 4.647, 7.093, 7.094 Å; angles 96.15, 109.11, 70.90 degrees
Sites, in units of the cell vectors:
Ni 0.750 0.500 0.500
Ni 0.250 0.500 0.501
Ni 0.259 0.802 0.318
Ni 0.742 0.198 0.682
Ni 0.242 0.318 0.802
Ni 0.759 0.682 0.199
Ni 0.441 0.802 0.683
Ni 0.560 0.198 0.318
Ni 0.940 0.318 0.199
Ni 0.060 0.682 0.802
Mo 0.250 0.000 0.000
Mo 0.750 0.000 0.000
Mo 0.685 0.500 0.870
Mo 0.316 0.500 0.131
Mo 0.816 0.869 0.501
Mo 0.185 0.131 0.500

The magnetic moment is 0.00 μB per cell.

---

Most stable: (2). Least stable: (1).

---

(1)
Density functional theory data (PBE) for an optimized crystal structure of Ni4Mo3.

Cell lengths 9.613, 9.613, 9.613 Å; angles 161.27, 161.27, 26.60 degrees
Sites, in units of the cell vectors:
Ni 0.864 0.864 0.000
Ni 0.571 0.571 0.000
Ni 0.429 0.429 0.000
Ni 0.136 0.136 0.000
Mo 0.000 0.000 0.000
Mo 0.709 0.709 0.000
Mo 0.291 0.291 0.000

The magnetic moment is 0.01 μB per cell.

---

(2)
Density functional theory data (PBE) for an optimized crystal structure of Ni4Mo3.

Cell lengths 4.967, 4.967, 4.581 Å; angles 90.00, 90.00, 120.00 degrees
Sites, in units of the cell vectors:
Ni 0.000 0.000 0.258
Ni 0.000 0.000 0.742
Ni 0.667 0.333 0.500
Ni 0.333 0.667 0.500
Mo 0.000 0.500 0.000
Mo 0.500 0.500 0.000
Mo 0.500 0.000 0.000

The magnetic moment is 0.00 μB per cell.

---

Most stable: (1). Least stable: (2).

---

(1)
Density functional theory data (PBE) for an optimized crystal structure of NiMo4.

Cell lengths 4.438, 4.438, 4.438 Å; angles 90.00, 90.00, 90.00 degrees
Sites, in units of the cell vectors:
Ni 0.500 0.500 0.500
Mo 0.000 0.000 0.000
Mo 0.500 0.000 0.500
Mo 0.000 0.500 0.500
Mo 0.500 0.500 0.000

The magnetic moment is 0.00 μB per cell.

---

(2)
Density functional theory data (PBE) for an optimized crystal structure of NiMo4.

Cell lengths 4.830, 4.830, 4.830 Å; angles 109.47, 109.47, 109.47 degrees
Sites, in units of the cell vectors:
Ni 0.000 0.000 0.000
Mo 0.500 0.000 0.000
Mo 0.500 0.500 0.500
Mo 0.000 0.500 0.000
Mo 0.000 0.000 0.500

The magnetic moment is 0.00 μB per cell.

---

Most stable: (2). Least stable: (1).

---

(1)
Density functional theory data (PBE) for an optimized crystal structure of Ni3Mo5.

Cell lengths 5.476, 5.476, 3.735 Å; angles 90.00, 90.00, 91.92 degrees
Sites, in units of the cell vectors:
Ni 0.500 0.500 0.000
Ni 0.256 0.256 0.500
Ni 0.744 0.744 0.500
Mo 0.000 0.000 0.000
Mo 0.000 0.500 0.000
Mo 0.500 0.000 0.000
Mo 0.738 0.262 0.500
Mo 0.262 0.738 0.500

The magnetic moment is 0.00 μB per cell.

---

(2)
Density functional theory data (PBE) for an optimized crystal structure of Ni3Mo5.

Cell lengths 7.347, 7.346, 4.832 Å; angles 90.00, 90.00, 60.00 degrees
Sites, in units of the cell vectors:
Ni 0.587 0.000 0.250
Ni 0.413 0.000 0.750
Ni 0.413 0.587 0.250
Ni 0.000 0.413 0.250
Ni 0.000 0.587 0.750
Ni 0.587 0.413 0.750
Mo 0.667 0.667 0.000
Mo 0.333 0.333 0.500
Mo 0.333 0.333 0.000
Mo 0.667 0.667 0.500
Mo 0.220 0.000 0.250
Mo 0.780 0.000 0.750
Mo 0.780 0.220 0.250
Mo 0.000 0.780 0.250
Mo 0.000 0.220 0.750
Mo 0.220 0.780 0.750

The magnetic moment is 0.00 μB per cell.

---

Most stable: (1). Least stable: (2).